The following is a PBE calculation of a geometry-optimized PmSi4Pd12 structure, from Alexandria via LeMat-Bulk.

Properties
Density ... 8.62 g/cm3
Total energy ... -5.682 eV/atom
Fermi-level density of states ... 0.347 states/eV/atom
Spin magnetization ... 0.000 μB/f.u.

abc: 7.267 7.267 7.267
angles: 109.47 109.47 109.47
Positions (direct):
Pm  0.000  0.000  0.000
Si  0.000  0.500  0.000
Si  0.500  0.000  0.000
Si  0.500  0.500  0.500
Si  0.000  0.000  0.500
Pd  0.834  0.339  0.173
Pd  0.339  0.506  0.166
Pd  0.827  0.166  0.661
Pd  0.339  0.173  0.834
Pd  0.173  0.834  0.339
Pd  0.661  0.494  0.834
Pd  0.506  0.166  0.339
Pd  0.494  0.834  0.661
Pd  0.661  0.827  0.166
Pd  0.834  0.661  0.494
Pd  0.166  0.339  0.506
Pd  0.166  0.661  0.827



The following is a PBE calculation of a geometry-optimized Pm3Si2Pd2 structure, from Alexandria via LeMat-Bulk.

Properties
Density ... 7.61 g/cm3
Total energy ... -5.902 eV/atom
Fermi-level density of states ... 0.731 states/eV/atom
Spin magnetization ... 0.000 μB/f.u.

abc: 5.744 8.076 13.247
angles: 90.00 90.00 90.00
Positions (direct):
Pm  0.127  0.605  0.104
Pm  0.873  0.395  0.604
Pm  0.873  0.105  0.396
Pm  0.127  0.895  0.896
Pm  0.873  0.395  0.896
Pm  0.127  0.605  0.396
Pm  0.127  0.895  0.604
Pm  0.873  0.105  0.104
Pm  0.359  0.245  0.250
Pm  0.641  0.755  0.750
Pm  0.641  0.745  0.250
Pm  0.359  0.255  0.750
Si  0.331  0.250  0.000
Si  0.669  0.750  0.500
Si  0.669  0.750  0.000
Si  0.331  0.250  0.500
Si  0.847  0.394  0.250
Si  0.153  0.606  0.750
Si  0.153  0.894  0.250
Si  0.847  0.106  0.750
Pd  0.616  0.455  0.091
Pd  0.384  0.545  0.591
Pd  0.384  0.955  0.409
Pd  0.616  0.045  0.909
Pd  0.384  0.545  0.909
Pd  0.616  0.455  0.409
Pd  0.616  0.045  0.591
Pd  0.384  0.955  0.091



The following is a PBE calculation of a geometry-optimized Pm8SiPd2 structure, from Alexandria via LeMat-Bulk.

Properties
Density ... 7.41 g/cm3
Total energy ... -5.276 eV/atom
Fermi-level density of states ... 0.950 states/eV/atom
Spin magnetization ... 0.000 μB/f.u.

abc: 5.210 6.914 9.630
angles: 109.26 105.69 90.00
Positions (direct):
Pm  0.407  0.538  0.813
Pm  0.673  0.002  0.347
Pm  0.799  0.660  0.597
Pm  0.972  0.206  0.943
Pm  0.201  0.340  0.403
Pm  0.327  0.998  0.653
Pm  0.593  0.462  0.187
Pm  0.028  0.794  0.057
Si  0.500  0.000  0.000
Pd  0.830  0.273  0.660
Pd  0.170  0.727  0.340



The following is a PBE calculation of a geometry-optimized PmSiPd2 structure, from Alexandria via LeMat-Bulk.

Properties
Density ... 8.63 g/cm3
Total energy ... -6.067 eV/atom
Fermi-level density of states ... 0.443 states/eV/atom
Spin magnetization ... 0.000 μB/f.u.

abc: 5.652 6.986 7.521
angles: 90.00 90.00 90.00
Positions (direct):
Pm  0.358  0.250  0.029
Pm  0.858  0.750  0.471
Pm  0.642  0.750  0.971
Pm  0.142  0.250  0.529
Si  0.645  0.250  0.376
Si  0.145  0.750  0.124
Si  0.355  0.750  0.624
Si  0.855  0.250  0.876
Pd  0.906  0.052  0.175
Pd  0.406  0.948  0.325
Pd  0.094  0.552  0.825
Pd  0.594  0.448  0.675
Pd  0.094  0.948  0.825
Pd  0.594  0.052  0.675
Pd  0.906  0.448  0.175
Pd  0.406  0.552  0.325



> Number 3 is which compound?

Pm8SiPd2



> The highest total energy belongs to which entry?

Pm8SiPd2



What did the fourth record say?
The following is a PBE calculation of a geometry-optimized PmSiPd2 structure, from Alexandria via LeMat-Bulk.

Properties
Density ... 8.63 g/cm3
Total energy ... -6.067 eV/atom
Fermi-level density of states ... 0.443 states/eV/atom
Spin magnetization ... 0.000 μB/f.u.

abc: 5.652 6.986 7.521
angles: 90.00 90.00 90.00
Positions (direct):
Pm  0.358  0.250  0.029
Pm  0.858  0.750  0.471
Pm  0.642  0.750  0.971
Pm  0.142  0.250  0.529
Si  0.645  0.250  0.376
Si  0.145  0.750  0.124
Si  0.355  0.750  0.624
Si  0.855  0.250  0.876
Pd  0.906  0.052  0.175
Pd  0.406  0.948  0.325
Pd  0.094  0.552  0.825
Pd  0.594  0.448  0.675
Pd  0.094  0.948  0.825
Pd  0.594  0.052  0.675
Pd  0.906  0.448  0.175
Pd  0.406  0.552  0.325